# 1
Here is crystalline La8Tl2Ir3 at its relaxed geometry from Alexandria via LeMat-Bulk. Energies are from PBE.

POSCAR file:
```
La8Tl2Ir3
1.0
-7.176 1.282 1.167
-1.474 -0.770 -8.218
2.035 -7.497 4.615
La Tl Ir
8 2 3
direct
0.966 0.616 0.232
0.034 0.384 0.768
0.904 0.104 0.209
0.096 0.896 0.791
0.604 0.661 0.794
0.604 0.133 0.794
0.396 0.867 0.206
0.396 0.339 0.206
0.327 0.264 0.527
0.673 0.736 0.473
0.500 0.000 0.000
0.000 0.252 0.000
0.000 0.748 0.000
```

Properties
Energy relative to the elements: -473 meV per atom
E: -5.914 eV/atom

# 2
Here is crystalline KHg2Au9 at its relaxed geometry from Alexandria via LeMat-Bulk. Energies are from PBE.

POSCAR file:
```
KHg2Au9
1.0
-2.684 -3.643 3.427
2.799 -4.426 2.188
2.410 2.408 9.147
K Hg Au
1 2 9
direct
0.000 0.000 0.000
0.861 0.861 0.416
0.139 0.139 0.584
0.667 0.667 0.000
0.333 0.333 0.000
0.500 0.500 0.500
0.413 0.413 0.254
0.919 0.413 0.254
0.413 0.919 0.254
0.587 0.587 0.746
0.587 0.081 0.746
0.081 0.587 0.746
```

Properties
Energy relative to the elements: -82 meV per atom
E: -2.682 eV/atom

# 3
Here is crystalline TiNiAs at its relaxed geometry from Alexandria via LeMat-Bulk. Energies are from PBE.

POSCAR file:
```
TiNiAs
1.0
3.340 0.000 0.000
0.000 3.887 0.000
0.000 -1.944 3.366
Ni As Ti
1 1 1
direct
0.155 0.000 0.000
0.175 0.333 0.667
0.670 0.667 0.333
```

Properties
Energy relative to the elements: -628 meV per atom
E: -6.737 eV/atom

# 4
Here is crystalline La2ZnAgN at its relaxed geometry from Alexandria via LeMat-Bulk. Energies are from PBE.

POSCAR file:
```
La2ZnAgN
1.0
-0.333 -3.690 -3.594
2.041 -3.402 3.303
-3.832 -0.979 1.359
Zn N Ag La
1 1 1 2
direct
0.000 0.000 0.500
0.000 0.000 0.000
0.500 0.500 0.500
0.000 0.500 0.000
0.500 0.000 0.000
```

Properties
ΔE_f (raw): -0.480 eV/atom
E: -4.941 eV/atom

# 5
Here is crystalline Sm2Ho2Tl7 at its relaxed geometry from Alexandria via LeMat-Bulk. Energies are from PBE.

POSCAR file:
```
Sm2Ho2Tl7
1.0
-4.018 -2.485 -5.188
4.300 -6.044 -0.434
-3.127 -2.634 5.702
Sm Ho Tl
2 2 7
direct
0.813 0.500 0.813
0.187 0.500 0.187
0.705 0.000 0.295
0.295 0.000 0.705
0.000 0.287 0.500
0.500 0.713 0.000
0.000 0.713 0.500
0.500 0.287 0.000
0.000 0.000 0.000
0.500 0.711 0.500
0.500 0.289 0.500
```

Properties
Energy relative to the elements: 64 meV per atom
E: -3.132 eV/atom

# 6
Here is crystalline AcCdSnGe at its relaxed geometry from Alexandria via LeMat-Bulk. Energies are from PBE.

POSCAR file:
```
AcCdSnGe
1.0
5.389 0.000 0.000
2.694 4.667 0.000
2.694 1.556 4.400
Ac Ge Sn Cd
1 1 1 1
direct
0.750 0.750 0.750
0.500 0.500 0.500
0.250 0.250 0.250
0.000 0.000 0.000
```

Properties
Energy relative to the elements: -240 meV per atom
E: -3.651 eV/atom

# 7
Here is crystalline InWS3 at its relaxed geometry from Alexandria via LeMat-Bulk. Energies are from PBE.

POSCAR file:
```
InWS3
1.0
-0.513 -0.053 -4.869
4.865 -0.209 -0.511
-0.202 -4.892 0.075
S W In
3 1 1
direct
0.000 0.500 0.000
0.000 0.000 0.500
0.500 0.000 0.000
0.500 0.500 0.500
0.000 0.000 0.000
```

Properties
ΔE_f (raw): 1.308 eV/atom
E: -4.307 eV/atom

# 8
Here is crystalline Pr2Ga4Ni3Au at its relaxed geometry from Alexandria via LeMat-Bulk. Energies are from PBE.

POSCAR file:
```
Pr2Ga4Ni3Au
1.0
4.194 0.000 0.000
0.000 4.194 0.000
0.000 0.000 10.342
Pr Ga Ni Au
2 4 3 1
direct
0.500 0.000 0.238
0.000 0.500 0.762
0.500 0.500 0.000
0.000 0.000 0.000
0.500 0.000 0.643
0.000 0.500 0.357
0.000 0.000 0.500
0.500 0.000 0.875
0.000 0.500 0.125
0.500 0.500 0.500
```

Properties
Energy relative to the elements: -568 meV per atom
E: -4.797 eV/atom